Ca2HgP | GGA-PBE | optimized geometry

a b c (Å): 6.2736 6.2736 6.2736
angles (deg): 140.10 140.10 57.70
Closest atoms and distances in Å follow each position.
Fractional coordinates of all 4 atoms:
1 Ca 0.0000 0.0000 0.0000  4 P 3.03
2 Ca 0.7500 0.2500 0.5000  4 Hg 3.03
3 Hg 0.2500 0.7500 0.5000  4 Ca 3.03
4 P 0.5000 0.5000 0.0000  4 Ca 3.03

SG: I-4m2 (119)
Density of states at the Fermi level in states/eV/atom: 0.5385

=====

CaHgP2 | GGA-PBE | optimized geometry

a b c (Å): 3.9434 3.9434 6.4957
angles (deg): 90.00 90.00 90.00
Closest atoms and distances in Å follow each position.
Fractional coordinates of all 4 atoms:
1 Ca 0.0000 0.0000 0.0000  8 P 2.98, 2 Hg 3.25
2 Hg 0.0000 0.0000 0.5000  2 Ca 3.25, 8 P 3.55
3 P 0.5000 0.5000 0.1619  1 P 2.10
4 P 0.5000 0.5000 0.8381  1 P 2.10

SG: P4/mmm (123)
Density of states at the Fermi level in states/eV/atom: 0.3720

=====

CaHgP | GGA-PBE | optimized geometry

a b c (Å): 5.7384 5.7384 5.7384
angles (deg): 142.54 142.54 54.01
Closest atoms and distances in Å follow each position.
Fractional coordinates of all 3 atoms:
1 Ca 0.0000 0.0000 0.0000  4 P 3.05, 5 Hg 3.16-3.25
2 Hg 0.3093 0.3093 0.0000  4 P 3.04, 5 Ca 3.16-3.25
3 P 0.6554 0.6554 0.0000  4 Hg 3.04, 4 Ca 3.05

SG: I4mm (107)
Density of states at the Fermi level in states/eV/atom: 0.4671

=====

CaHgP2 | GGA-PBE | optimized geometry

a b c (Å): 6.2824 6.2824 6.2824
angles (deg): 39.06 39.06 39.06
Closest atoms and distances in Å follow each position.
Fractional coordinates of all 4 atoms:
1 Ca 0.0000 0.0000 0.0000  6 P 2.87
2 Hg 0.5000 0.5000 0.5000  6 P 2.78
3 P 0.2449 0.2449 0.2449  3 Hg 2.78, 3 Ca 2.87
4 P 0.7551 0.7551 0.7551  3 Hg 2.78, 3 Ca 2.87

SG: R-3m (166)
Density of states at the Fermi level in states/eV/atom: 0.8473

=====

Ca2HgP | GGA-PBE | optimized geometry

a b c (Å): 4.3271 4.3271 5.9675
angles (deg): 90.00 90.00 90.00
Closest atoms and distances in Å follow each position.
Fractional coordinates of all 4 atoms:
1 Ca 0.0000 0.0000 0.0000  2 Hg 2.98, 4 P 3.06
2 Ca 0.5000 0.5000 0.4992  2 P 2.98, 4 Hg 3.06
3 Hg 0.0000 0.0000 0.5000  6 Ca 2.98-3.06
4 P 0.5000 0.5000 0.9993  6 Ca 2.98-3.06

SG: P4mm (99)
Density of states at the Fermi level in states/eV/atom: 0.6464

=====

CaHg2P | GGA-PBE | optimized geometry

a b c (Å): 7.0647 7.0647 7.0647
angles (deg): 35.00 35.00 35.00
Closest atoms and distances in Å follow each position.
Fractional coordinates of all 4 atoms:
1 Ca 0.0000 0.0000 0.0000  3 P 2.87
2 Hg 0.5599 0.5599 0.5599  1 P 3.02, 3 Hg 3.11, 3 Ca 3.24
3 Hg 0.7968 0.7968 0.7968  3 P 2.69
4 P 0.4081 0.4081 0.4081  3 Hg 2.69, 3 Ca 2.87

SG: R3m (160)
Density of states at the Fermi level in states/eV/atom: 0.2286

=====

no.,raw total energy (eV per atom),spin magnetization (μB per atom)
1,-2.97,0.00
2,-3.65,0.00
3,-2.91,0.00
4,-3.34,0.00
5,-3.00,0.00
6,-2.36,0.00